Record 1
{
  "formula": "PrTmNi2",
  "functional": "PBE",
  "state": "relaxed",
  "formation_enthalpy_0k_mev_per_atom": -310.5,
  "dos_at_fermi_per_ev_cell": 3.98,
  "sg": "No. 123",
  "total_magnetization_mub_per_fu": 0.00,
  "density_g_cm3": 8.853,
  "dft_energy_ev_per_atom": -5.514,
  "lattice": [[-1.836, -2.422, -1.577], [-1.395, -0.894, 2.997], [-5.052, 4.489, -1.012]],
  "species": ["Tm", "Pr", "Ni", "Ni"],
  "frac_coords": [[0.500, 0.500, 0.000], [0.500, 0.500, 0.500], [0.000, 0.000, 0.223], [0.000, 0.000, 0.777]]
}

---

Record 2
{
  "formula": "Sr3Ga3Pt2",
  "functional": "PBE",
  "state": "relaxed",
  "formation_enthalpy_0k_mev_per_atom": -735.3,
  "dos_at_fermi_per_ev_cell": 10.15,
  "sg": "No. 63",
  "total_magnetization_mub_per_fu": 0.00,
  "density_g_cm3": 7.089,
  "dft_energy_ev_per_atom": -4.011,
  "lattice": [[4.383, 0.000, 0.000], [-2.192, 5.734, 0.000], [0.000, 0.000, 16.071]],
  "species": ["Pt", "Pt", "Sr", "Sr", "Sr", "Ga", "Ga", "Ga", "Sr", "Ga", "Sr", "Pt", "Ga", "Pt", "Sr", "Ga"],
  "frac_coords": [[0.228, 0.455, 0.109], [0.772, 0.545, 0.609], [0.940, 0.880, 0.106], [0.646, 0.291, 0.250], [0.060, 0.120, 0.894], [0.653, 0.306, 0.750], [0.664, 0.328, 0.037], [0.336, 0.672, 0.963], [0.354, 0.709, 0.750], [0.347, 0.694, 0.250], [0.060, 0.120, 0.606], [0.228, 0.455, 0.391], [0.336, 0.672, 0.537], [0.772, 0.545, 0.891], [0.940, 0.880, 0.394], [0.664, 0.328, 0.463]]
}

---

Record 3
{
  "formula": "CeThFe",
  "functional": "PBE",
  "state": "relaxed",
  "formation_enthalpy_0k_mev_per_atom": 114.4,
  "dos_at_fermi_per_ev_cell": 4.72,
  "sg": "No. 156",
  "total_magnetization_mub_per_fu": 0.00,
  "density_g_cm3": 9.877,
  "dft_energy_ev_per_atom": -7.158,
  "lattice": [[-0.707, -2.845, -3.921], [3.755, -1.619, 0.497], [-3.251, -1.733, 1.844]],
  "species": ["Th", "Ce", "Fe"],
  "frac_coords": [[0.667, 0.667, 0.333], [0.167, 0.000, 0.000], [0.166, 0.333, 0.667]]
}

---

Record 4
{
  "formula": "Cd2SnPd2",
  "functional": "PBE",
  "state": "relaxed",
  "formation_enthalpy_0k_mev_per_atom": -382.1,
  "dos_at_fermi_per_ev_cell": 1.92,
  "sg": "No. 164",
  "total_magnetization_mub_per_fu": 0.00,
  "density_g_cm3": 9.075,
  "dft_energy_ev_per_atom": -3.626,
  "lattice": [[4.536, 0.012, -0.008], [2.257, 3.934, -0.008], [0.010, 0.006, 5.714]],
  "species": ["Sn", "Cd", "Pd", "Pd", "Cd"],
  "frac_coords": [[0.500, 0.000, 0.000], [0.833, 0.333, 0.628], [0.833, 0.333, 0.135], [0.167, 0.667, 0.865], [0.167, 0.667, 0.372]]
}

---

Record 5
{
  "formula": "AcScAlPd",
  "functional": "PBE",
  "state": "relaxed",
  "formation_enthalpy_0k_mev_per_atom": -368.9,
  "dos_at_fermi_per_ev_cell": 3.63,
  "sg": "No. 216",
  "total_magnetization_mub_per_fu": 0.00,
  "density_g_cm3": 6.866,
  "dft_energy_ev_per_atom": -5.213,
  "lattice": [[-2.031, -2.592, -3.993], [-4.422, -2.623, 0.598], [-4.341, 1.699, -2.249]],
  "species": ["Ac", "Sc", "Pd", "Al"],
  "frac_coords": [[0.250, 0.250, 0.250], [0.750, 0.750, 0.750], [0.000, 0.000, 0.000], [0.500, 0.500, 0.500]]
}

---

Record 6
{
  "formula": "La3CeSm2P6",
  "functional": "PBE",
  "state": "relaxed",
  "formation_enthalpy_0k_mev_per_atom": -1565.6,
  "dos_at_fermi_per_ev_cell": 5.60,
  "sg": "No. 12",
  "total_magnetization_mub_per_fu": 0.38,
  "density_g_cm3": 5.570,
  "dft_energy_ev_per_atom": -6.783,
  "lattice": [[-2.918, 1.138, -6.530], [-4.209, -0.016, 5.893], [3.370, 6.362, 0.941]],
  "species": ["Sm", "La", "Ce", "P", "Sm", "P", "P", "P", "La", "P", "P", "La"],
  "frac_coords": [[0.334, 0.666, 0.000], [0.167, 0.833, 0.500], [0.000, 0.000, 0.000], [0.920, 0.591, 0.760], [0.666, 0.334, 0.000], [0.409, 0.080, 0.240], [0.751, 0.751, 0.240], [0.249, 0.249, 0.760], [0.833, 0.167, 0.500], [0.080, 0.409, 0.240], [0.591, 0.920, 0.760], [0.500, 0.500, 0.500]]
}

---

Repeat the third record exactly.
{
  "formula": "CeThFe",
  "functional": "PBE",
  "state": "relaxed",
  "formation_enthalpy_0k_mev_per_atom": 114.4,
  "dos_at_fermi_per_ev_cell": 4.72,
  "sg": "No. 156",
  "total_magnetization_mub_per_fu": 0.00,
  "density_g_cm3": 9.877,
  "dft_energy_ev_per_atom": -7.158,
  "lattice": [[-0.707, -2.845, -3.921], [3.755, -1.619, 0.497], [-3.251, -1.733, 1.844]],
  "species": ["Th", "Ce", "Fe"],
  "frac_coords": [[0.667, 0.667, 0.333], [0.167, 0.000, 0.000], [0.166, 0.333, 0.667]]
}